[1]
This record from Alexandria describes an optimized crystal structure of Ac2LaIn2. The functional is GGA-PBE.

Polymorph energy (0 for the lowest one), eV per formula unit: 0.02
Size of the total moment, μB per formula unit: 0.00
Formation energy from the elements, kJ/mol of atoms: -34.08
Space group: Immm

a b c (Å): 6.578 6.578 6.578
angles (deg): 133.61 112.01 86.30
Sites, in units of the cell vectors:
Ac 0.197 0.197 0.000
Ac 0.803 0.803 0.000
La 0.500 0.000 0.500
In 0.210 0.500 0.710
In 0.790 0.500 0.290


[2]
This record from Alexandria describes an optimized crystal structure of Pm3HfGe6. The functional is GGA-PBE.

Size of the total moment, μB per formula unit: 0.00
Formation energy from the elements, kJ/mol of atoms: -62.52
Space group: R-3c

a b c (Å): 7.691 7.691 7.691
angles (deg): 97.29 97.29 97.29
Sites, in units of the cell vectors:
Pm 0.181 0.750 0.319
Pm 0.250 0.681 0.819
Pm 0.319 0.181 0.750
Pm 0.681 0.819 0.250
Pm 0.750 0.319 0.181
Pm 0.819 0.250 0.681
Hf 0.000 0.000 0.000
Hf 0.500 0.500 0.500
Ge 0.013 0.090 0.366
Ge 0.090 0.366 0.013
Ge 0.134 0.410 0.487
Ge 0.366 0.013 0.090
Ge 0.410 0.487 0.134
Ge 0.487 0.134 0.410
Ge 0.513 0.866 0.590
Ge 0.590 0.513 0.866
Ge 0.634 0.987 0.910
Ge 0.866 0.590 0.513
Ge 0.910 0.634 0.987
Ge 0.987 0.910 0.634


[3]
This record from Alexandria describes an optimized crystal structure of ScCo2NiI. The functional is GGA-PBE.

Energy relative to the elements, uncorrected, eV/atom: 1.244
Size of the total moment, μB per formula unit: 1.90
Space group: P4/mmm

a b c (Å): 4.591 4.591 4.646
angles (deg): 90.00 90.00 90.00
Sites, in units of the cell vectors:
Sc 0.000 0.000 0.000
Co 0.000 0.500 0.000
Co 0.500 0.000 0.000
Ni 0.000 0.000 0.500
I 0.500 0.500 0.500


[4]
This record from Alexandria describes an optimized crystal structure of Ce2PPt8. The functional is GGA-PBE.

Size of the total moment, μB per formula unit: 1.23
Formation energy from the elements, kJ/mol of atoms: -85.88
Space group: Amm2

a b c (Å): 4.303 9.140 9.140
angles (deg): 145.38 90.00 90.00
Sites, in units of the cell vectors:
Ce 0.000 0.124 0.876
Ce 0.000 0.876 0.124
P 0.500 0.731 0.731
Pt 0.000 0.295 0.697
Pt 0.000 0.509 0.509
Pt 0.000 0.697 0.295
Pt 0.500 0.139 0.139
Pt 0.500 0.396 0.615
Pt 0.500 0.482 0.991
Pt 0.500 0.615 0.396
Pt 0.500 0.991 0.482


[5]
This record from Alexandria describes an optimized crystal structure of LiTaSb. The functional is GGA-PBE.

Energy relative to the elements, uncorrected, eV/atom: 0.288
Polymorph energy (0 for the lowest one), eV per formula unit: 1.77
Size of the total moment, μB per formula unit: 0.26
Space group: I4mm

a b c (Å): 7.150 7.150 7.150
angles (deg): 155.64 155.64 34.72
Sites, in units of the cell vectors:
Li 0.000 0.000 0.000
Ta 0.336 0.336 0.000
Sb 0.682 0.682 0.000


[6]
This record from Alexandria describes an optimized crystal structure of Tm3AlNi9Ge2. The functional is GGA-PBE.

Size of the total moment, μB per formula unit: 0.00
Formation energy from the elements, kJ/mol of atoms: -20.59
Space group: P-3m1

a b c (Å): 5.909 5.909 8.603
angles (deg): 90.00 90.00 120.00
Sites, in units of the cell vectors:
Tm 0.000 0.000 0.000
Tm 0.333 0.667 0.715
Tm 0.667 0.333 0.285
Al 0.000 0.000 0.500
Ni 0.000 0.500 0.000
Ni 0.133 0.266 0.276
Ni 0.133 0.867 0.276
Ni 0.266 0.133 0.724
Ni 0.500 0.000 0.000
Ni 0.500 0.500 0.000
Ni 0.734 0.867 0.276
Ni 0.867 0.133 0.724
Ni 0.867 0.734 0.724
Ge 0.333 0.667 0.184
Ge 0.667 0.333 0.816


[7]
This record from Alexandria describes an optimized crystal structure of Ir3RhCl. The functional is GGA-PBE.

Energy relative to the elements, uncorrected, eV/atom: 2.159
Polymorph energy (0 for the lowest one), eV per formula unit: 2.51
Size of the total moment, μB per formula unit: 2.39
Space group: Pm-3m

a b c (Å): 4.775 4.775 4.775
angles (deg): 90.00 90.00 90.00
Sites, in units of the cell vectors:
Ir 0.000 0.000 0.500
Ir 0.000 0.500 0.000
Ir 0.500 0.000 0.000
Rh 0.000 0.000 0.000
Cl 0.500 0.500 0.500


[8]
This record from Alexandria describes an optimized crystal structure of Li2AgGeSe4. The functional is GGA-PBE.

Energy relative to the elements, uncorrected, eV/atom: -0.467
Size of the total moment, μB per formula unit: 0.00
Space group: Imma

a b c (Å): 7.762 7.762 7.762
angles (deg): 122.69 119.73 87.94
Sites, in units of the cell vectors:
Li 0.000 0.000 0.000
Li 0.500 0.000 0.000
Li 0.500 0.000 0.500
Li 0.500 0.500 0.500
Ag 0.000 0.500 0.500
Ag 0.500 0.500 0.000
Ge 0.000 0.000 0.500
Ge 0.000 0.500 0.000
Se 0.223 0.233 0.990
Se 0.237 0.247 0.510
Se 0.237 0.728 0.990
Se 0.257 0.767 0.490
Se 0.743 0.233 0.510
Se 0.763 0.272 0.010
Se 0.763 0.753 0.490
Se 0.777 0.767 0.010


[9]
This record from Alexandria describes an optimized crystal structure of ScHg2Bi. The functional is GGA-PBE.

Size of the total moment, μB per formula unit: 0.00
Formation energy from the elements, kJ/mol of atoms: -24.28
Space group: P4/mmm

a b c (Å): 4.396 4.396 5.050
angles (deg): 90.00 90.00 90.00
Sites, in units of the cell vectors:
Sc 0.000 0.000 0.000
Hg 0.000 0.500 0.500
Hg 0.500 0.000 0.500
Bi 0.500 0.500 0.000


[10]
This record from Alexandria describes an optimized crystal structure of Y4BiAsSe2. The functional is GGA-PBE.

Energy relative to the elements, uncorrected, eV/atom: -1.494
Size of the total moment, μB per formula unit: 0.00
Space group: P2/m

a b c (Å): 7.226 4.197 7.347
angles (deg): 90.00 109.51 90.00
Sites, in units of the cell vectors:
Y 0.241 0.000 0.229
Y 0.253 0.500 0.766
Y 0.747 0.500 0.234
Y 0.759 0.000 0.771
Bi 0.500 0.500 0.500
As 0.500 0.000 0.000
Se 0.000 0.000 0.500
Se 0.000 0.500 0.000


[11]
This record from Alexandria describes an optimized crystal structure of TaHRh2. The functional is GGA-PBE.

Polymorph energy (0 for the lowest one), eV per formula unit: 1.95
Size of the total moment, μB per formula unit: 0.00
Space group: P6/mmm

a b c (Å): 4.260 4.260 3.382
angles (deg): 90.00 90.00 120.00
Sites, in units of the cell vectors:
Ta 0.000 0.000 0.000
H 0.000 0.000 0.500
Rh 0.333 0.667 0.500
Rh 0.667 0.333 0.500


[12]
This record from Alexandria describes an optimized crystal structure of Tm2ZrRu3. The functional is GGA-PBE.

Size of the total moment, μB per formula unit: 0.00
Formation energy from the elements, kJ/mol of atoms: -49.89
Space group: P-3m1

a b c (Å): 4.697 4.697 11.549
angles (deg): 90.00 90.00 120.00
Sites, in units of the cell vectors:
Tm 0.000 0.000 0.000
Tm 0.000 0.000 0.500
Tm 0.333 0.667 0.167
Tm 0.667 0.333 0.833
Zr 0.333 0.667 0.666
Zr 0.667 0.333 0.334
Ru 0.000 0.000 0.256
Ru 0.000 0.000 0.744
Ru 0.333 0.667 0.417
Ru 0.333 0.667 0.910
Ru 0.667 0.333 0.090
Ru 0.667 0.333 0.583


Which raw total energy belongs to each record? In order, -4.077, -5.839, -4.331, -6.854, -5.675, -5.442, -4.997, -3.621, -2.956, -6.663, -7.202, -8.070 eV/atom.